Record 1
A relaxed structure of Ba2GeBiAu, computed with GGA-PBE.

Results
E_form = -0.1950 eV per atom
SG = P4/mmm
Uncorrected energy = -3.319 eV/atom

a = 6.3541 Å, b = 6.3541 Å, c = 5.4222 Å
α = 90.00°, β = 90.00°, γ = 90.00°
Last column: nearest neighbours and their distance in Å.
Atoms (fractional coordinates):
Ba  0.0000  0.5000  0.0000  2 Ge 3.18
Ba  0.5000  0.0000  0.0000  2 Ge 3.18
Ge  0.0000  0.0000  0.0000  2 Bi 2.71
Bi  0.0000  0.0000  0.5000  2 Ge 2.71
Au  0.5000  0.5000  0.5000  8 Ba 4.18, 4 Bi 4.49

***

Record 2
A relaxed structure of BaHfBiAu2, computed with GGA-PBE.

Results
E_form = 0.8950 eV per atom
SG = P4/mmm
Uncorrected energy = -3.567 eV/atom

a = 5.3919 Å, b = 5.3919 Å, c = 6.4794 Å
α = 90.00°, β = 90.00°, γ = 90.00°
Last column: nearest neighbours and their distance in Å.
Atoms (fractional coordinates):
Ba  0.0000  0.0000  0.0000  2 Bi 3.24
Hf  0.5000  0.5000  0.0000  4 Ba 3.81, 8 Au 4.21
Bi  0.0000  0.0000  0.5000  4 Au 2.70
Au  0.0000  0.5000  0.5000  2 Bi 2.70
Au  0.5000  0.0000  0.5000  2 Bi 2.70

***

Record 3
A relaxed structure of BaHgBiAu, computed with GGA-PBE.

Results
E_form = -0.3002 eV per atom
SG = Pmmm
Uncorrected energy = -2.646 eV/atom

a = 4.9189 Å, b = 5.3885 Å, c = 5.7237 Å
α = 90.00°, β = 90.00°, γ = 90.00°
Last column: nearest neighbours and their distance in Å.
Atoms (fractional coordinates):
Ba  0.0000  0.0000  0.0000  4 Bi 3.65, 4 Hg 3.77
Hg  0.5000  0.0000  0.5000  2 Au 2.69
Bi  0.5000  0.5000  0.0000  2 Au 2.86
Au  0.5000  0.5000  0.5000  2 Hg 2.69, 2 Bi 2.86